[1]
! TaTlSb2 SCAN PBEsol geometry; values from VASP
&SYSTEM
  ibrav = 0, nat = 4, ntyp = 3
/
ATOMIC_SPECIES
Ta 180.95 Ta.upf
Tl 204.38 Tl.upf
Sb 121.76 Sb.upf
CELL_PARAMETERS angstrom
-1.5110 2.5743 6.4223
1.5110 -2.5743 6.4223
1.5110 2.5743 -6.4223
ATOMIC_POSITIONS angstrom
Ta 0.0000 0.0000 0.0000
Tl 0.0000 0.0000 6.4223
Sb 1.5110 0.0000 2.4518
Sb 0.0000 2.5743 3.9706
! Polymorph energy (0 for the lowest one) (meV per atom): 163.5
! Energy (eV per atom): -53.097
! Formation energy without anion corrections (meV per atom): 269
! Space group: Immm, No. 71
! V (A^3/atom): 25.0


[2]
! TaTlSb2 SCAN PBEsol geometry; values from VASP
&SYSTEM
  ibrav = 0, nat = 4, ntyp = 3
/
ATOMIC_SPECIES
Ta 180.95 Ta.upf
Tl 204.38 Tl.upf
Sb 121.76 Sb.upf
CELL_PARAMETERS angstrom
3.1502 0.0000 0.0000
0.0000 3.6029 0.0000
0.0000 0.0000 8.4888
ATOMIC_POSITIONS angstrom
Ta 0.0000 0.0000 0.0000
Tl 0.0000 0.0000 4.2444
Sb 1.5751 1.8015 1.7092
Sb 1.5751 1.8015 6.7795
! Polymorph energy (0 for the lowest one) (meV per atom): 0.0
! Energy (eV per atom): -53.260
! Formation energy without anion corrections (meV per atom): 105
! Space group: Pmmm, No. 47
! V (A^3/atom): 24.1


[3]
! TaTlSbW2 SCAN PBEsol geometry; values from VASP
&SYSTEM
  ibrav = 0, nat = 5, ntyp = 4
/
ATOMIC_SPECIES
Ta 180.95 Ta.upf
Tl 204.38 Tl.upf
Sb 121.76 Sb.upf
W 183.84 W.upf
CELL_PARAMETERS angstrom
4.8728 0.0000 0.0000
0.0000 4.8728 0.0000
0.0000 0.0000 4.9713
ATOMIC_POSITIONS angstrom
Ta 0.0000 0.0000 0.0000
Tl 2.4364 2.4364 0.0000
Sb 0.0000 0.0000 2.4856
W 0.0000 2.4364 2.4856
W 2.4364 0.0000 2.4856
! Energy (eV per atom): -60.683
! Formation energy without anion corrections (meV per atom): 2433
! Space group: P4/mmm, No. 123
! V (A^3/atom): 23.6


[4]
! TaSb4W SCAN PBEsol geometry; values from VASP
&SYSTEM
  ibrav = 0, nat = 6, ntyp = 3
/
ATOMIC_SPECIES
Ta 180.95 Ta.upf
Sb 121.76 Sb.upf
W 183.84 W.upf
CELL_PARAMETERS angstrom
0.0000 4.1021 4.1021
4.1021 0.0000 4.1021
4.1021 4.1021 0.0000
ATOMIC_POSITIONS angstrom
Ta 0.0000 0.0000 0.0000
Sb 5.1270 3.0772 3.0772
Sb 3.0772 5.1270 3.0772
Sb 3.0772 3.0772 5.1270
Sb 5.1270 5.1270 5.1270
W 2.0510 2.0510 2.0510
! Energy (eV per atom): -45.883
! Formation energy without anion corrections (meV per atom): 1669
! Space group: F-43m, No. 216
! V (A^3/atom): 23.0


[5]
! Ta2SbW SCAN PBEsol geometry; values from VASP
&SYSTEM
  ibrav = 0, nat = 4, ntyp = 3
/
ATOMIC_SPECIES
Ta 180.95 Ta.upf
Sb 121.76 Sb.upf
W 183.84 W.upf
CELL_PARAMETERS angstrom
2.9155 0.0000 0.0000
0.0000 4.6724 0.0000
-1.1494 0.0000 5.2879
ATOMIC_POSITIONS angstrom
Ta 0.0000 0.0000 0.0000
Ta -0.1433 2.3362 3.8526
Sb 1.4260 0.0000 2.5421
W 1.8818 2.3362 1.0775
! Energy (eV per atom): -59.804
! Formation energy without anion corrections (meV per atom): 225
! Space group: Pm, No. 6
! V (A^3/atom): 18.0


[6]
! Ta2SbW SCAN PBEsol geometry; values from VASP
&SYSTEM
  ibrav = 0, nat = 4, ntyp = 3
/
ATOMIC_SPECIES
Ta 180.95 Ta.upf
Sb 121.76 Sb.upf
W 183.84 W.upf
CELL_PARAMETERS angstrom
3.4737 0.0000 0.0000
0.0000 3.4737 0.0000
0.0000 0.0000 5.9180
ATOMIC_POSITIONS angstrom
Ta 0.0000 0.0000 0.0000
Ta 1.7369 1.7369 1.4544
Sb 1.7369 1.7369 4.3936
W 0.0000 0.0000 2.8566
! Energy (eV per atom): -59.866
! Formation energy without anion corrections (meV per atom): 163
! Space group: P4mm, No. 99
! V (A^3/atom): 17.9


[7]
! Y3TaSb SCAN PBEsol geometry; values from VASP
&SYSTEM
  ibrav = 0, nat = 5, ntyp = 3
/
ATOMIC_SPECIES
Y 88.91 Y.upf
Ta 180.95 Ta.upf
Sb 121.76 Sb.upf
CELL_PARAMETERS angstrom
5.5156 0.0000 0.0000
0.0000 5.5156 0.0000
0.0000 0.0000 5.5156
ATOMIC_POSITIONS angstrom
Y 0.0000 0.0000 2.7578
Y 0.0000 2.7578 0.0000
Y 2.7578 0.0000 0.0000
Ta 2.7578 2.7578 2.7578
Sb 0.0000 0.0000 0.0000
! Energy (eV per atom): -36.747
! Formation energy without anion corrections (meV per atom): 727
! Space group: Pm-3m, No. 221
! V (A^3/atom): 33.6


[8]
! YTa3Sb SCAN PBEsol geometry; values from VASP
&SYSTEM
  ibrav = 0, nat = 5, ntyp = 3
/
ATOMIC_SPECIES
Y 88.91 Y.upf
Ta 180.95 Ta.upf
Sb 121.76 Sb.upf
CELL_PARAMETERS angstrom
4.8878 0.0000 0.0000
0.0000 4.8878 0.0000
0.0000 0.0000 4.8878
ATOMIC_POSITIONS angstrom
Y 0.0000 0.0000 0.0000
Ta 0.0000 0.0000 2.4439
Ta 0.0000 2.4439 0.0000
Ta 2.4439 0.0000 0.0000
Sb 2.4439 2.4439 2.4439
! Energy (eV per atom): -50.656
! Formation energy without anion corrections (meV per atom): 2315
! Space group: Pm-3m, No. 221
! V (A^3/atom): 23.4


[9]
! Ta2ZnSb SCAN PBEsol geometry; values from VASP
&SYSTEM
  ibrav = 0, nat = 4, ntyp = 3
/
ATOMIC_SPECIES
Ta 180.95 Ta.upf
Zn 65.41 Zn.upf
Sb 121.76 Sb.upf
CELL_PARAMETERS angstrom
3.5099 0.0000 0.0000
0.0000 3.5099 0.0000
0.0000 0.0000 5.8105
ATOMIC_POSITIONS angstrom
Ta 0.0000 0.0000 0.0000
Ta 1.7549 1.7549 1.3412
Zn 0.0000 0.0000 2.7029
Sb 1.7549 1.7549 4.2187
! Polymorph energy (0 for the lowest one) (meV per atom): 0.0
! Energy (eV per atom): -45.970
! Formation energy without anion corrections (meV per atom): 15
! Space group: P4mm, No. 99
! V (A^3/atom): 17.9


[10]
! TaZnSb2 SCAN PBEsol geometry; values from VASP
&SYSTEM
  ibrav = 0, nat = 4, ntyp = 3
/
ATOMIC_SPECIES
Ta 180.95 Ta.upf
Zn 65.41 Zn.upf
Sb 121.76 Sb.upf
CELL_PARAMETERS angstrom
3.5545 0.0000 0.0000
0.0000 3.5545 0.0000
0.0000 0.0000 6.7547
ATOMIC_POSITIONS angstrom
Ta 0.0000 0.0000 0.0000
Zn 1.7773 1.7773 1.4095
Sb 0.0000 0.0000 2.7568
Sb 1.7773 1.7773 5.3907
! Energy (eV per atom): -38.408
! Formation energy without anion corrections (meV per atom): 247
! Space group: P4mm, No. 99
! V (A^3/atom): 21.3


[11]
! Ta2ZnSb SCAN PBEsol geometry; values from VASP
&SYSTEM
  ibrav = 0, nat = 4, ntyp = 3
/
ATOMIC_SPECIES
Ta 180.95 Ta.upf
Zn 65.41 Zn.upf
Sb 121.76 Sb.upf
CELL_PARAMETERS angstrom
1.8075 -2.3118 0.0000
1.8075 2.3118 0.0000
0.0000 0.0000 9.3216
ATOMIC_POSITIONS angstrom
Ta 0.0000 0.0000 0.0000
Ta 1.8075 0.0000 2.1623
Zn 0.0000 0.0000 4.1178
Sb 1.8075 0.0000 7.0807
! Polymorph energy (0 for the lowest one) (meV per atom): 142.3
! Energy (eV per atom): -45.828
! Formation energy without anion corrections (meV per atom): 158
! Space group: Cmm2, No. 35
! V (A^3/atom): 19.5


[12]
! Ta2ZnSb SCAN PBEsol geometry; values from VASP
&SYSTEM
  ibrav = 0, nat = 4, ntyp = 3
/
ATOMIC_SPECIES
Ta 180.95 Ta.upf
Zn 65.41 Zn.upf
Sb 121.76 Sb.upf
CELL_PARAMETERS angstrom
-1.7936 2.2207 4.4173
1.7936 -2.2207 4.4173
1.7936 2.2207 -4.4173
ATOMIC_POSITIONS angstrom
Ta 0.0000 0.0000 0.0000
Ta 0.0000 2.2207 2.2717
Zn 1.7936 0.0000 2.2078
Sb 0.0000 0.0000 4.4155
! Polymorph energy (0 for the lowest one) (meV per atom): 129.3
! Energy (eV per atom): -45.841
! Formation energy without anion corrections (meV per atom): 145
! Space group: Imm2, No. 44
! V (A^3/atom): 17.6


[13]
! TaZnSb2 SCAN PBEsol geometry; values from VASP
&SYSTEM
  ibrav = 0, nat = 4, ntyp = 3
/
ATOMIC_SPECIES
Ta 180.95 Ta.upf
Zn 65.41 Zn.upf
Sb 121.76 Sb.upf
CELL_PARAMETERS angstrom
2.9509 0.0000 0.0000
0.0000 3.7887 0.0000
0.0000 0.0000 7.8153
ATOMIC_POSITIONS angstrom
Ta 0.0000 0.0000 0.0000
Zn 1.4755 1.8943 1.3884
Sb 0.0000 0.0000 2.9716
Sb 1.4755 1.8943 6.0143
! Energy (eV per atom): -38.455
! Formation energy without anion corrections (meV per atom): 200
! Space group: Pmm2, No. 25
! V (A^3/atom): 21.8


[14]
! TaZn2Sb SCAN PBEsol geometry; values from VASP
&SYSTEM
  ibrav = 0, nat = 4, ntyp = 3
/
ATOMIC_SPECIES
Ta 180.95 Ta.upf
Zn 65.41 Zn.upf
Sb 121.76 Sb.upf
CELL_PARAMETERS angstrom
4.9409 -1.4357 0.0000
4.9409 1.4357 0.0000
-0.6497 0.0000 4.9846
ATOMIC_POSITIONS angstrom
Ta 0.0000 0.0000 0.0000
Zn 2.2612 0.0000 3.5885
Zn 4.8559 0.0000 2.6201
Sb 7.2381 0.0000 1.0617
! Energy (eV per atom): -32.522
! Formation energy without anion corrections (meV per atom): 196
! Space group: Cm, No. 8
! V (A^3/atom): 17.7